The following is a DFT calculation (PBE-GGA) of a relaxed TbAl3B4O12 crystal.

Values from the calculation:
calculated total energy: -7.93 eV per atom

Unit cell a=9.3001 b=9.3001 c=7.2017 alpha=90.00 beta=90.00 gamma=120.00
Space group R32 (No. 155, hexagonal axes)
One atom of each set of equivalent atoms:
Tb 0.0000 0.0000 0.0000 x3
Al 0.0000 0.5560 0.0000 x9
B 0.0000 0.0000 0.5000 x3
B 0.0000 0.4426 0.5000 x9
O 0.0000 0.5912 0.5000 x9
O 0.0000 0.8511 0.5000 x9
O 0.0335 0.2172 0.1883 x18